{"formula": "Be9MoW2", "functional": "PBE-GGA", "state": "optimized geometry", "space_group": "P6_3/mmc (194)", "n_ef_per_ev_fu": 6.0, "total_magnetization_mub_per_fu": 0.00, "ef_ev_per_atom": -0.237, "final_energy_ev_per_fu": -73.12, "lattice": [[4.4103, 0.0000, 0.0000], [-2.2052, 3.8195, 0.0000], [0.0000, 0.0000, 13.8861]], "species": ["Be", "Be", "Be", "Be", "Be", "Be", "Be", "Be", "Be", "Be", "Be", "Be", "Be", "Be", "Be", "Be", "Be", "Be", "Mo", "Mo", "W", "W", "W", "W"], "fractional_positions": [[0.0000, 0.0000, 0.0000], [0.0000, 0.0000, 0.2500], [0.0000, 0.0000, 0.5000], [0.0000, 0.0000, 0.7500], [0.1688, 0.3377, 0.1283], [0.1688, 0.3377, 0.3717], [0.1688, 0.8312, 0.1283], [0.1688, 0.8312, 0.3717], [0.3333, 0.6667, 0.2500], [0.3377, 0.1688, 0.6283], [0.3377, 0.1688, 0.8717], [0.6623, 0.8312, 0.1283], [0.6623, 0.8312, 0.3717], [0.6667, 0.3333, 0.7500], [0.8312, 0.1688, 0.6283], [0.8312, 0.1688, 0.8717], [0.8312, 0.6623, 0.6283], [0.8312, 0.6623, 0.8717], [0.3333, 0.6667, 0.7500], [0.6667, 0.3333, 0.2500], [0.3333, 0.6667, 0.5325], [0.3333, 0.6667, 0.9675], [0.6667, 0.3333, 0.0325], [0.6667, 0.3333, 0.4675]]}